1.
A plane-wave DFT calculation with GGA-PBE was carried out for a relaxed structure of CsSbTeI2.

Properties
Calculated density in Mg/m³: 4.4
Formation energy (no corrections) in eV per atom: -0.277

Cell and atoms, written as POSCAR:
```
CsSbTeI2
1.0
6.4800 0.0000 0.0000
0.0000 6.4800 0.0000
0.0000 0.0000 5.7521
Cs Sb Te I
1 1 1 2
direct
0.0000 0.0000 0.0000 Cs
0.5000 0.5000 0.0000 Sb
0.5000 0.5000 0.5000 Te
0.0000 0.5000 0.5000 I
0.5000 0.0000 0.5000 I
```

2.
A plane-wave DFT calculation with GGA-PBE was carried out for a relaxed structure of YSn2O4.

Properties
Calculated density in Mg/m³: 5.5
Formation energy (no corrections) in eV per atom: -1.841

Cell and atoms, written as POSCAR:
```
YSn2O4
1.0
3.3680 1.9445 5.9707
-3.3680 1.9445 5.9707
0.0000 -3.8890 5.9707
Y Sn O
2 4 8
direct
0.1343 0.1343 0.1343 Y
0.8657 0.8657 0.8657 Y
0.0000 0.5000 0.5000 Sn
0.5000 0.0000 0.5000 Sn
0.5000 0.5000 0.0000 Sn
0.5000 0.5000 0.5000 Sn
0.2510 0.2510 0.2510 O
0.2673 0.7195 0.7195 O
0.2805 0.2805 0.7327 O
0.2805 0.7327 0.2805 O
0.7195 0.2673 0.7195 O
0.7195 0.7195 0.2673 O
0.7327 0.2805 0.2805 O
0.7490 0.7490 0.7490 O
```

3.
A plane-wave DFT calculation with GGA-PBE was carried out for a relaxed structure of GaBCl3.

Properties
Calculated density in Mg/m³: 2.6
Formation energy (no corrections) in eV per atom: 0.369

Cell and atoms, written as POSCAR:
```
GaBCl3
1.0
4.9369 0.0000 0.0000
0.0000 4.9369 0.0000
0.0000 0.0000 4.9369
Ga B Cl
1 1 3
direct
0.0000 0.0000 0.0000 Ga
0.5000 0.5000 0.5000 B
0.0000 0.0000 0.5000 Cl
0.0000 0.5000 0.0000 Cl
0.5000 0.0000 0.0000 Cl
```

4.
A plane-wave DFT calculation with GGA-PBE was carried out for a relaxed structure of AgPd2Pb2.

Properties
Energy relative to the elements in eV per atom: -0.125
Calculated density in Mg/m³: 11.4

Cell and atoms, written as POSCAR:
```
AgPd2Pb2
1.0
4.3628 0.0000 0.0000
0.0000 6.0387 0.0000
0.0000 0.0000 8.0933
Ag Pd Pb
2 4 4
direct
0.0000 0.0000 0.0000 Ag
0.5000 0.5000 0.5000 Ag
0.0000 0.2270 0.5000 Pd
0.0000 0.7730 0.5000 Pd
0.5000 0.2730 0.0000 Pd
0.5000 0.7270 0.0000 Pd
0.0000 0.5000 0.2035 Pb
0.0000 0.5000 0.7965 Pb
0.5000 0.0000 0.2965 Pb
0.5000 0.0000 0.7035 Pb
```